AcTb2Pm: optimized geometry, GGA-PBE.

## Properties
Its total magnetization is 0.000 μB/f.u. The calculation puts the density of states at the Fermi level at 4.72 states/eV/f.u. For the volume, the calculation gives 141.7 Å³/f.u. The calculation puts the energy of formation at 0.170 eV/f.u.

```
data_AcTb2Pm
_cell_length_a 3.7187
_cell_length_b 3.7187
_cell_length_c 35.4920
_cell_angle_alpha 90.00
_cell_angle_beta 90.00
_cell_angle_gamma 120.00
_space_group_name_H-M_alt 'R -3 m'
_space_group_IT_number 166
_space_group_name_Hall '-R 3 2"'
loop_
_atom_site_label
_atom_site_fract_x
_atom_site_fract_y
_atom_site_fract_z
Ac1 0.0000 0.0000 0.0000
Tb1 0.0000 0.0000 0.2478
Pm1 0.0000 0.0000 0.5000
```